Below is a relaxed KPb2BrO2 crystal, with properties calculated at the PBE level.

The structure in extended XYZ format:
```
12
Lattice="7.3206 0.0000 0.0000 0.0000 6.3655 0.0000 -0.1930 0.0000 7.3633" Properties=species:S:1:pos:R:3 pbc="T T T"
K 0.7727 1.5914 0.7775
K 6.3548 4.7741 6.5858
Pb 1.3320 1.5914 4.5389
Pb 2.6408 4.7741 5.8704
Pb 4.4867 1.5914 1.4929
Pb 5.7955 4.7741 2.8244
Br 2.6214 4.7741 2.7142
Br 4.5061 1.5914 4.6492
O 1.1666 6.3653 6.0102
O 1.1666 3.1830 6.0102
O 5.9609 0.0002 1.3532
O 5.9609 3.1825 1.3532
```

Calculated values
Formation energy without anion corrections in meV per atom: -1182
Total magnetization in μB per formula unit: 0.0
D(E_F) in states/eV/f.u.: 0.00
Space-group type: No. 11

=====

Below is a relaxed K2PdBrO crystal, with properties calculated at the PBE level.

The structure in extended XYZ format:
```
5
Lattice="5.7624 0.0000 0.0000 0.0000 5.7624 0.0000 0.0000 0.0000 3.8941" Properties=species:S:1:pos:R:3 pbc="T T T"
K 0.0000 2.8812 0.0000
K 2.8812 0.0000 0.0000
Pd 0.0000 0.0000 1.9470
Br 2.8812 2.8812 1.9470
O 0.0000 0.0000 0.0000
```

Calculated values
Formation energy without anion corrections in meV per atom: -1076
Total magnetization in μB per formula unit: 0.5
D(E_F) in states/eV/f.u.: 1.26
Space-group type: No. 123

=====

Below is a relaxed K5PdBrO2 crystal, with properties calculated at the PBE level.

The structure in extended XYZ format:
```
9
Lattice="5.3375 0.0000 0.0000 0.0000 5.3375 0.0000 0.0000 0.0000 9.2590" Properties=species:S:1:pos:R:3 pbc="T T T"
K 0.0000 0.0000 0.0000
K 0.0000 2.6688 2.6682
K 0.0000 2.6688 6.5908
K 2.6688 0.0000 2.6682
K 2.6688 0.0000 6.5908
Pd 0.0000 0.0000 4.6295
Br 2.6688 2.6688 0.0000
O 0.0000 0.0000 2.5392
O 0.0000 0.0000 6.7199
```

Calculated values
Formation energy without anion corrections in meV per atom: -1066
Total magnetization in μB per formula unit: 0.0
Space-group type: No. 123

=====

Below is a relaxed K2PmBrO2 crystal, with properties calculated at the PBE level.

The structure in extended XYZ format:
```
6
Lattice="4.6160 0.0000 0.0000 0.0000 4.6160 0.0000 0.0000 0.0000 6.6529" Properties=species:S:1:pos:R:3 pbc="T T T"
K 0.0000 0.0000 1.5995
K 0.0000 0.0000 5.0533
Pm 2.3080 2.3080 0.0000
Br 2.3080 2.3080 3.3264
O 0.0000 2.3080 0.0000
O 2.3080 0.0000 0.0000
```

Calculated values
Formation energy without anion corrections in meV per atom: -2123
Total magnetization in μB per formula unit: 0.0
D(E_F) in states/eV/f.u.: 0.00
Space-group type: No. 123